1.
First-principles (PBE-GGA) data for a relaxed structure of CoNiBMo, as listed in the Open Quantum Materials Database.

The structure in POSCAR format:
```
CoNiBMo
1.0
0.000 2.779 2.779
2.779 0.000 2.779
2.779 2.779 0.000
Co Ni B Mo
1 1 1 1
direct
0.000 0.000 0.000
0.250 0.250 0.250
0.750 0.750 0.750
0.500 0.500 0.500
```

Space group ... F-43m (216)
Polymorph energy (0 for the lowest one) ... 0 meV/atom
Size of the total moment ... 0.0 μB per formula unit

***

2.
First-principles (PBE-GGA) data for a relaxed structure of GdYTlFe2, as listed in the Open Quantum Materials Database.

The structure in POSCAR format:
```
GdYTlFe2
1.0
3.986 0.000 0.000
0.000 1.901 6.968
0.000 -1.901 6.968
Gd Y Tl Fe
1 1 1 2
direct
0.000 0.000 0.000
0.000 0.723 0.723
0.500 0.361 0.361
0.500 0.151 0.151
0.500 0.571 0.571
```

E ... -6.16 eV per atom
Space group ... Amm2 (38)
Size of the total moment ... 1.5 μB per formula unit